FeAgCl2F | Alexandria via LeMat-Bulk | PBE+U | relaxed; final energy = -19.61 eV for the cell shown; crystal system = tetragonal
1.0
5.0450 0.0000 0.0000
0.0000 5.0450 0.0000
0.0000 0.0000 3.9035
Fe Ag Cl F
1 1 2 1
Direct
0.0000 0.0000 0.0000
0.5000 0.5000 0.5000
0.0000 0.5000 0.0000
0.5000 0.0000 0.0000
0.0000 0.0000 0.5000